No. 1
# HfScFe GGA-PBE relaxed
data_HfScFe
_space_group_name_H-M_alt 'F -4 3 m'
_space_group_IT_number 216
_space_group_name_Hall 'F -4 2 3'
_cell_length_a 6.137
_cell_length_b 6.137
_cell_length_c 6.137
_cell_angle_alpha 90.00
_cell_angle_beta 90.00
_cell_angle_gamma 90.00
loop_
_atom_site_label
_atom_site_type_symbol
_atom_site_fract_x
_atom_site_fract_y
_atom_site_fract_z
_atom_site_occupancy
Hf1 Hf 0.000 0.000 0.000 1
Sc1 Sc 0.250 0.250 0.750 1
Fe1 Fe 0.000 0.000 0.500 1
# V (Å³/cell): 231
# Energy relative to the elements (meV/atom): 1061.6
# VASP energy (eV for the cell shown): -85.63



No. 2
# BeCuTcOs GGA-PBE relaxed
data_BeCuTcOs
_space_group_name_H-M_alt 'F -4 3 m'
_space_group_IT_number 216
_space_group_name_Hall 'F -4 2 3'
_cell_length_a 5.873
_cell_length_b 5.873
_cell_length_c 5.873
_cell_angle_alpha 90.00
_cell_angle_beta 90.00
_cell_angle_gamma 90.00
loop_
_atom_site_label
_atom_site_type_symbol
_atom_site_fract_x
_atom_site_fract_y
_atom_site_fract_z
_atom_site_occupancy
Be1 Be 0.000 0.000 0.000 1
Cu1 Cu 0.250 0.250 0.250 1
Tc1 Tc 0.000 0.000 0.500 1
Os1 Os 0.250 0.250 0.750 1
# V (Å³/cell): 203
# VASP energy (eV for the cell shown): -113.98
# Polymorph energy (0 for the lowest one) (eV/atom): 0.000



No. 3
# YMg2Zn GGA-PBE relaxed
data_YMg2Zn
_space_group_name_H-M_alt 'F -4 3 m'
_space_group_IT_number 216
_space_group_name_Hall 'F -4 2 3'
_cell_length_a 7.034
_cell_length_b 7.034
_cell_length_c 7.034
_cell_angle_alpha 90.00
_cell_angle_beta 90.00
_cell_angle_gamma 90.00
loop_
_atom_site_label
_atom_site_type_symbol
_atom_site_fract_x
_atom_site_fract_y
_atom_site_fract_z
_atom_site_occupancy
Y1 Y 0.000 0.000 0.000 1
Mg1 Mg 0.000 0.000 0.500 1
Mg2 Mg 0.250 0.250 0.250 1
Zn1 Zn 0.250 0.250 0.750 1
# V (Å³/cell): 348
# VASP energy (eV for the cell shown): -46.26